(1)
A plane-wave DFT calculation with GGA-PBE was carried out for a relaxed structure of NaSbBr5.

Computed properties:
- Space-group type: No. 15
- Crystal system: monoclinic

a b c (Å): 7.527 7.527 11.307
angles (deg): 68.31 68.31 97.43
Atoms (fractional coordinates):
Br1 0.292 0.821 0.468
Br2 0.708 0.179 0.532
Br3 0.018 0.982 0.750
Br4 0.982 0.018 0.250
Br5 0.821 0.292 0.968
Br6 0.716 0.645 0.655
Br7 0.355 0.284 0.845
Br8 0.179 0.708 0.032
Br9 0.645 0.716 0.155
Br10 0.284 0.355 0.345
Sb1 0.000 0.000 0.500
Sb2 0.000 0.000 0.000
Na1 0.706 0.294 0.250
Na2 0.294 0.706 0.750

=====

(2)
A plane-wave DFT calculation with GGA-PBE was carried out for a relaxed structure of NaSbBr5.

Computed properties:
- Space-group type: No. 14
- Crystal system: monoclinic

a b c (Å): 7.513 10.825 13.965
angles (deg): 90.00 90.00 110.07
Atoms (fractional coordinates):
Br1 0.964 0.120 0.613
Br2 0.152 0.619 0.112
Br3 0.036 0.880 0.387
Br4 0.821 0.704 0.618
Br5 0.156 0.499 0.614
Br6 0.848 0.381 0.888
Br7 0.652 0.119 0.388
Br8 0.613 0.300 0.615
Br9 0.536 0.380 0.113
Br10 0.656 0.999 0.886
Br11 0.113 0.800 0.885
Br12 0.464 0.620 0.887
Br13 0.321 0.204 0.882
Br14 0.348 0.881 0.612
Br15 0.844 0.501 0.386
Br16 0.179 0.296 0.382
Br17 0.387 0.700 0.385
Br18 0.887 0.200 0.115
Br19 0.679 0.796 0.118
Br20 0.344 0.001 0.114
Na1 0.194 0.385 0.000
Na2 0.306 0.115 0.500
Na3 0.694 0.885 0.500
Na4 0.806 0.615 0.000
Sb1 0.604 0.201 0.999
Sb2 0.396 0.799 0.001
Sb3 0.104 0.701 0.501
Sb4 0.896 0.299 0.499

=====

(3)
A plane-wave DFT calculation with GGA-PBE was carried out for a relaxed structure of NaSb2Br.

Computed properties:
- Space-group type: No. 122
- Crystal system: tetragonal

a b c (Å): 4.262 4.262 14.933
angles (deg): 81.80 81.80 90.00
Atoms (fractional coordinates):
Na1 0.250 0.750 0.500
Na2 0.500 0.500 0.000
Br1 0.750 0.250 0.500
Br2 0.000 0.000 0.000
Sb1 0.594 0.125 0.250
Sb2 0.375 0.406 0.750
Sb3 0.156 0.625 0.250
Sb4 0.875 0.844 0.750

=====

(4)
A plane-wave DFT calculation with GGA-PBE was carried out for a relaxed structure of NaSbSe2Br.

Computed properties:
- Space-group type: No. 123
- Crystal system: tetragonal

a b c (Å): 5.340 5.340 5.748
angles (deg): 90.00 90.00 90.00
Atoms (fractional coordinates):
Sb1 0.000 0.000 0.000
Se1 0.000 0.500 0.000
Se2 0.500 0.000 0.000
Na1 0.500 0.500 0.500
Br1 0.000 0.000 0.500

=====

(5)
A plane-wave DFT calculation with GGA-PBE was carried out for a relaxed structure of NaSbSe2Br.

Computed properties:
- Space-group type: No. 123
- Crystal system: tetragonal

a b c (Å): 5.192 5.192 5.117
angles (deg): 90.00 90.00 90.00
Atoms (fractional coordinates):
Se1 0.500 0.000 0.000
Se2 0.000 0.500 0.000
Na1 0.000 0.000 0.000
Br1 0.000 0.000 0.500
Sb1 0.500 0.500 0.500

=====

(6)
A plane-wave DFT calculation with GGA-PBE was carried out for a relaxed structure of Na2SnSbBr8.

Computed properties:
- Space-group type: No. 10
- Crystal system: monoclinic

a b c (Å): 7.082 6.829 8.622
angles (deg): 90.01 90.00 96.24
Atoms (fractional coordinates):
Br1 0.149 0.782 0.250
Br2 0.677 0.732 0.500
Br3 0.337 0.251 0.000
Br4 0.851 0.218 0.750
Br5 0.663 0.749 0.000
Br6 0.149 0.782 0.750
Br7 0.851 0.218 0.250
Br8 0.323 0.268 0.500
Sn1 0.000 0.000 0.500
Na1 0.500 0.500 0.754
Na2 0.500 0.500 0.246
Sb1 0.000 0.000 0.000

=====

Calculated total energy: -2.702 -2.724 -3.261 -3.165 -2.469 -2.902 (eV per atom)
Total magnetization: 0.0 0.0 0.0 0.0 0.0 0.0 (μB per formula unit)
Ρ: 3.4 3.4 4.3 3.9 4.6 3.7 (Mg/m³)